Entry 1:
The following is a DFT calculation (GGA-PBE) of crystalline Pm2TlN at its relaxed geometry.

Properties
Offset from the most stable computed form, meV/atom: 608
Space group: Fd-3m (227)
Energy, eV per atom: -5.3169

a b c (Å): 7.405 7.405 7.405
angles (deg): 60.00 60.00 60.00
Element x y z (fractional)
Pm 0.000 0.000 0.000
Pm 0.000 0.000 0.500
Pm 0.000 0.500 0.000
Pm 0.500 0.000 0.000
Tl 0.375 0.375 0.375
Tl 0.625 0.625 0.625
N 0.125 0.125 0.125
N 0.875 0.875 0.875

=====

Entry 2:
The following is a DFT calculation (GGA-PBE) of crystalline CrSnSe2 at its relaxed geometry.

Properties
Space group: P1 (1)
Energy, eV per atom: -5.5084

a b c (Å): 3.725 6.543 8.744
angles (deg): 94.63 102.28 106.54
Element x y z (fractional)
Cr 0.000 0.000 0.000
Cr 0.271 0.378 0.165
Sn 0.144 0.568 0.720
Sn 0.185 0.020 0.344
Se 0.432 0.771 0.094
Se 0.615 0.268 0.961
Se 0.785 0.873 0.697
Se 0.888 0.407 0.369

=====

Entry 3:
The following is a DFT calculation (GGA-PBE) of crystalline Pm2DyTm4 at its relaxed geometry.

Properties
ΔE_f, eV per atom: 0.0706
Offset from the most stable computed form, meV/atom: 0
Space group: P1 (1)
Energy, eV per atom: -4.4993

a b c (Å): 6.035 8.369 9.450
angles (deg): 88.45 78.22 72.36
Element x y z (fractional)
Pm 0.000 0.000 0.000
Pm 0.010 0.883 0.354
Pm 0.160 0.486 0.493
Pm 0.271 0.041 0.623
Dy 0.116 0.551 0.124
Dy 0.906 0.418 0.847
Tm 0.275 0.154 0.262
Tm 0.365 0.625 0.772
Tm 0.465 0.208 0.906
Tm 0.549 0.776 0.068
Tm 0.603 0.683 0.419
Tm 0.671 0.362 0.199
Tm 0.725 0.262 0.550
Tm 0.806 0.835 0.715

=====

Entry 4:
The following is a DFT calculation (GGA-PBE) of crystalline PmPr5Nd at its relaxed geometry.

Properties
ΔE_f, eV per atom: 0.9235
Offset from the most stable computed form, meV/atom: 774
Space group: Immm (71)
Energy, eV per atom: -3.8502

a b c (Å): 8.118 8.118 8.118
angles (deg): 136.93 113.15 82.89
Element x y z (fractional)
Pm 0.000 0.000 0.000
Pr 0.178 0.500 0.678
Pr 0.249 0.249 0.000
Pr 0.500 0.000 0.500
Pr 0.751 0.751 0.000
Pr 0.822 0.500 0.322
Nd 0.500 0.500 0.000

=====

Entry 5:
The following is a DFT calculation (GGA-PBE) of crystalline Sm3Er12Pu at its relaxed geometry.

Properties
ΔE_f, eV per atom: 0.0431
Space group: P4/mmm (123)
Energy, eV per atom: -5.1597

a b c (Å): 4.984 4.984 19.885
angles (deg): 90.00 90.00 90.00
Element x y z (fractional)
Sm 0.000 0.000 0.000
Sm 0.000 0.000 0.253
Sm 0.000 0.000 0.747
Er 0.000 0.500 0.126
Er 0.000 0.500 0.379
Er 0.000 0.500 0.621
Er 0.000 0.500 0.874
Er 0.500 0.000 0.126
Er 0.500 0.000 0.379
Er 0.500 0.000 0.621
Er 0.500 0.000 0.874
Er 0.500 0.500 0.000
Er 0.500 0.500 0.252
Er 0.500 0.500 0.500
Er 0.500 0.500 0.748
Pu 0.000 0.000 0.500

=====

Entry 6:
The following is a DFT calculation (GGA-PBE) of crystalline PrBe2Pt2N at its relaxed geometry.

Properties
Space group: I4/mmm (139)
Energy, eV per atom: -6.4904

a b c (Å): 6.282 6.282 6.282
angles (deg): 143.80 143.80 52.13
Element x y z (fractional)
Pr 0.000 0.000 0.000
Be 0.359 0.359 0.000
Be 0.641 0.641 0.000
Pt 0.250 0.750 0.500
Pt 0.750 0.250 0.500
N 0.500 0.500 0.000

=====

Entry 7:
The following is a DFT calculation (GGA-PBE) of crystalline Co5Ni5Pd2 at its relaxed geometry.

Properties
ΔE_f, eV per atom: 0.0306
Space group: C2/m (12)
Energy, eV per atom: -6.2045

a b c (Å): 5.680 5.680 8.071
angles (deg): 115.01 115.01 37.19
Element x y z (fractional)
Co 0.000 0.000 0.000
Co 0.090 0.090 0.764
Co 0.252 0.252 0.238
Co 0.748 0.748 0.762
Co 0.910 0.910 0.236
Ni 0.334 0.334 0.999
Ni 0.423 0.423 0.764
Ni 0.500 0.500 0.500
Ni 0.577 0.577 0.236
Ni 0.666 0.666 0.001
Pd 0.161 0.161 0.500
Pd 0.839 0.839 0.500

=====

Entry 8:
The following is a DFT calculation (GGA-PBE) of crystalline Sc2CrIr at its relaxed geometry.

Properties
ΔE_f, eV per atom: -0.3565
Space group: Pmmm (47)
Energy, eV per atom: -8.1434

a b c (Å): 3.217 3.384 6.424
angles (deg): 90.00 90.00 90.00
Element x y z (fractional)
Sc 0.000 0.000 0.242
Sc 0.000 0.000 0.758
Cr 0.500 0.500 0.500
Ir 0.500 0.500 0.000

=====

Entry 9:
The following is a DFT calculation (GGA-PBE) of crystalline Ho2Er3Cd6 at its relaxed geometry.

Properties
ΔE_f, eV per atom: 0.1171
Space group: I4/mmm (139)
Energy, eV per atom: -2.4588

a b c (Å): 14.198 14.198 14.198
angles (deg): 159.94 159.94 28.51
Element x y z (fractional)
Ho 0.134 0.134 0.000
Ho 0.866 0.866 0.000
Er 0.363 0.363 0.000
Er 0.500 0.500 0.000
Er 0.637 0.637 0.000
Cd 0.065 0.565 0.500
Cd 0.249 0.249 0.000
Cd 0.435 0.935 0.500
Cd 0.565 0.065 0.500
Cd 0.751 0.751 0.000
Cd 0.935 0.435 0.500

=====

Entry 10:
The following is a DFT calculation (GGA-PBE) of crystalline MgRu2S2 at its relaxed geometry.

Properties
Offset from the most stable computed form, meV/atom: 260
Space group: P4/mbm (127)
Energy, eV per atom: -5.6474

a b c (Å): 7.057 7.057 3.003
angles (deg): 90.00 90.00 90.00
Element x y z (fractional)
Mg 0.000 0.000 0.000
Mg 0.500 0.500 0.000
Ru 0.180 0.320 0.500
Ru 0.320 0.820 0.500
Ru 0.680 0.180 0.500
Ru 0.820 0.680 0.500
S 0.145 0.645 0.000
S 0.355 0.145 0.000
S 0.645 0.855 0.000
S 0.855 0.355 0.000

=====

Entry 11:
The following is a DFT calculation (GGA-PBE) of crystalline BaY4In5 at its relaxed geometry.

Properties
ΔE_f, eV per atom: -0.4720
Space group: P4/mmm (123)
Energy, eV per atom: -4.6191

a b c (Å): 3.845 3.845 19.463
angles (deg): 90.00 90.00 90.00
Element x y z (fractional)
Ba 0.000 0.000 0.000
Y 0.000 0.000 0.218
Y 0.000 0.000 0.406
Y 0.000 0.000 0.594
Y 0.000 0.000 0.782
In 0.500 0.500 0.127
In 0.500 0.500 0.312
In 0.500 0.500 0.500
In 0.500 0.500 0.688
In 0.500 0.500 0.873

=====

Entry 12:
The following is a DFT calculation (GGA-PBE) of crystalline MnPbAu2 at its relaxed geometry.

Properties
ΔE_f, eV per atom: 0.0869
Space group: C2/m (12)
Energy, eV per atom: -4.7712

a b c (Å): 4.572 4.572 6.186
angles (deg): 100.61 100.61 42.41
Element x y z (fractional)
Mn 0.000 0.000 0.000
Pb 0.500 0.500 0.500
Au 0.266 0.266 0.802
Au 0.734 0.734 0.198

=====

Entry 13:
The following is a DFT calculation (GGA-PBE) of crystalline Ac2PmPrNd2 at its relaxed geometry.

Properties
ΔE_f, eV per atom: 0.0663
Space group: Pmma (51)
Energy, eV per atom: -4.4808

a b c (Å): 7.414 6.006 10.303
angles (deg): 90.00 90.00 90.00
Element x y z (fractional)
Ac 0.000 0.000 0.000
Ac 0.250 0.500 0.171
Ac 0.500 0.000 0.000
Ac 0.750 0.500 0.829
Pm 0.000 0.500 0.500
Pm 0.500 0.500 0.500
Pr 0.250 0.000 0.666
Pr 0.750 0.000 0.334
Nd 0.250 0.000 0.344
Nd 0.250 0.500 0.825
Nd 0.750 0.000 0.656
Nd 0.750 0.500 0.175

=====

Entry 14:
The following is a DFT calculation (GGA-PBE) of crystalline CeErPa2As4 at its relaxed geometry.

Properties
ΔE_f, eV per atom: -1.2494
Space group: P2/m (10)
Energy, eV per atom: -7.2603

a b c (Å): 7.130 4.116 7.136
angles (deg): 90.00 109.44 90.00
Element x y z (fractional)
Ce 0.000 0.000 0.000
Er 0.500 0.500 0.000
Pa 0.000 0.500 0.500
Pa 0.500 0.000 0.500
As 0.253 0.000 0.748
As 0.256 0.500 0.255
As 0.744 0.500 0.745
As 0.747 0.000 0.252

=====

Entry 15:
The following is a DFT calculation (GGA-PBE) of crystalline CaSeSBr2 at its relaxed geometry.

Properties
Offset from the most stable computed form, meV/atom: 0
Space group: P4/mmm (123)
Energy, eV per atom: -3.0629

a b c (Å): 5.173 5.173 5.066
angles (deg): 90.00 90.00 90.00
Element x y z (fractional)
Ca 0.000 0.000 0.000
Se 0.500 0.500 0.000
S 0.500 0.500 0.500
Br 0.000 0.500 0.500
Br 0.500 0.000 0.500